This record from the Alexandria database describes crystalline K2LaOs at its relaxed geometry. The functional is PBE.

Geometry as POSCAR:
```
K2LaOs
1.0
-0.204 -1.335 -2.743
6.136 -1.246 0.149
-1.127 -5.235 2.631
K Os La
2 1 1
Cartesian
-0.584 -2.714 1.364
-1.106 -5.139 2.583
2.121 -5.217 0.677
2.684 -2.599 -0.639
```

Summary:
As for the magnetic moment: 0.6 μB per formula unit. The raw total energy comes out at -3.48 eV per atom. The calculation puts the distance to the lowest polymorph of the same formula at 654 meV per atom. For the density of states at the Fermi level, the calculation gives 3.56 states/eV per cell.

=====

This record from the Alexandria database describes crystalline KLa2Os at its relaxed geometry. The functional is PBE.

Geometry as POSCAR:
```
KLa2Os
1.0
-1.479 1.598 3.511
-1.913 -3.570 0.820
8.088 -3.215 4.870
Os La K
1 2 1
Cartesian
2.643 -1.051 1.591
1.123 -2.106 3.862
0.664 -0.264 0.400
4.311 -3.374 5.782
```

Summary:
As for the magnetic moment: 0.0 μB per formula unit. The raw total energy comes out at -5.31 eV per atom. The calculation puts the distance to the lowest polymorph of the same formula at 273 meV per atom. For the density of states at the Fermi level, the calculation gives 3.05 states/eV per cell.

=====

This record from the Alexandria database describes crystalline KLaOs2 at its relaxed geometry. The functional is PBE.

Geometry as POSCAR:
```
KLaOs2
1.0
0.000 3.550 3.550
3.550 0.000 3.550
3.550 3.550 0.000
La Os K
1 2 1
Cartesian
3.550 3.550 3.550
5.326 5.326 5.326
1.775 1.775 1.775
0.000 0.000 0.000
```

Summary:
As for the magnetic moment: 0.9 μB per formula unit. The raw total energy comes out at -5.66 eV per atom. The calculation puts the distance to the lowest polymorph of the same formula at 1152 meV per atom. For the density of states at the Fermi level, the calculation gives 8.78 states/eV per cell.

=====

This record from the Alexandria database describes crystalline KLaOs2 at its relaxed geometry. The functional is PBE.

Geometry as POSCAR:
```
KLaOs2
1.0
4.052 0.000 0.000
0.000 4.052 0.000
0.000 0.000 4.962
Os K La
2 1 1
Cartesian
0.000 0.000 0.000
2.026 2.026 0.000
2.026 0.000 2.481
0.000 2.026 2.481
```

Summary:
As for the magnetic moment: 0.0 μB per formula unit. The raw total energy comes out at -5.92 eV per atom. The calculation puts the distance to the lowest polymorph of the same formula at 891 meV per atom. For the density of states at the Fermi level, the calculation gives 5.25 states/eV per cell.